Computed, not measured: a relaxed Ce7Ir2Pb crystal at the PBE-GGA level of DFT.

Output
**SG**: Cmmm, No. 65
**Calculated total energy**: -6.502 eV/atom
**Formation energy**: -0.205 eV/atom
**D(E_F)**: 3.24 states/eV per atom
**Total magnetic moment**: 0.5366 μB per atom

```
10
Lattice="4.678 -6.468 0.000 4.678 6.468 0.000 0.000 0.000 5.268" Properties=species:S:1:pos:R:3 pbc="T T T"
Ce 0.000 0.000 0.000
Ce 2.910 1.409 0.000
Ce 4.678 3.573 2.634
Ce 2.910 -1.409 0.000
Ce 6.447 1.409 0.000
Ce 4.678 -3.573 2.634
Ce 6.447 -1.409 0.000
Ir 4.678 3.782 0.000
Ir 4.678 -3.782 0.000
Pb 4.678 0.000 2.634
```